First-principles (GGA-PBEsol) data for a relaxed structure of LiNbAl2Pd, as listed in the Alexandria database.

Computed properties:
E_form ... 0.715 eV per atom
Spin magnetization ... 0.000 μB/atom

Lattice parameters (Å, degrees): 5.0400 5.0400 4.7385 90.00 90.00 90.00
With the nearest neighbours (Å) after each atom.
Space group P4/mmm (No. 123)
Inequivalent atoms, fractional coordinates:
Li  0.0000  0.0000  0.0000  8 Al 3.46, 4 Pd 3.56
Nb  0.5000  0.5000  0.5000  2 Pd 2.37, 4 Al 2.52
Al  0.0000  0.5000  0.5000  2 Nb 2.52
Pd  0.5000  0.5000  0.0000  2 Nb 2.37


First-principles (GGA-PBEsol) data for a relaxed structure of Li2AlNi, as listed in the Alexandria database.

Computed properties:
E_form ... -0.157 eV per atom
Spin magnetization ... 0.000 μB/atom

Lattice parameters (Å, degrees): 3.4618 3.4618 8.6099 90.00 90.00 90.00
With the nearest neighbours (Å) after each atom.
Space group I4/mmm (No. 139)
Inequivalent atoms, fractional coordinates:
Li  0.0000  0.5000  0.2500  4 Li 2.45
Al  0.0000  0.0000  0.0000  4 Ni 2.45
Ni  0.0000  0.0000  0.5000  4 Al 2.45


First-principles (GGA-PBEsol) data for a relaxed structure of LiAl3Ni, as listed in the Alexandria database.

Computed properties:
E_form ... 0.684 eV per atom
ΔE to the lowest computed polymorph ... 0.793 eV per atom
Spin magnetization ... 0.000 μB/atom

Lattice parameters (Å, degrees): 4.2213 4.2213 4.2213 90.00 90.00 90.00
With the nearest neighbours (Å) after each atom.
Space group Pm-3m (No. 221)
Inequivalent atoms, fractional coordinates:
Li  0.0000  0.0000  0.0000  6 Al 2.11
Al  0.0000  0.0000  0.5000  2 Li 2.11
Ni  0.5000  0.5000  0.5000  12 Al 2.98


First-principles (GGA-PBEsol) data for a relaxed structure of Li2AlNi, as listed in the Alexandria database.

Computed properties:
E_form ... -0.212 eV per atom
Spin magnetization ... 0.000 μB/atom

Lattice parameters (Å, degrees): 2.7505 4.1192 9.0046 90.00 90.00 90.00
With the nearest neighbours (Å) after each atom.
Space group Immm (No. 71)
Inequivalent atoms, fractional coordinates:
Li  0.0000  0.0000  0.2313  2 Ni 2.50, 6 Li 2.50-2.75, 2 Al 2.78
Al  0.0000  0.5000  0.0000  4 Ni 2.48, 2 Al 2.75
Ni  0.0000  0.5000  0.5000  4 Al 2.48, 4 Li 2.50, 2 Ni 2.75


First-principles (GGA-PBEsol) data for a relaxed structure of LiAl2Ni2, as listed in the Alexandria database.

Computed properties:
E_form ... -0.497 eV per atom
Spin magnetization ... 0.000 μB/atom

Lattice parameters (Å, degrees): 6.9456 6.9456 2.6514 90.00 90.00 90.00
With the nearest neighbours (Å) after each atom.
Space group P4/mbm (No. 127)
Inequivalent atoms, fractional coordinates:
Li  0.0000  0.0000  0.0000  2 Li 2.65, 4 Ni 2.68, 8 Al 2.94
Al  0.1551  0.3449  0.5000  6 Ni 2.41-2.44, 2 Al 2.65
Ni  0.1402  0.6402  0.0000  6 Al 2.41-2.44, 2 Ni 2.65, 2 Li 2.68


First-principles (GGA-PBEsol) data for a relaxed structure of Li2AlNi, as listed in the Alexandria database.

Computed properties:
E_form ... 0.046 eV per atom
Spin magnetization ... 0.000 μB/atom

Lattice parameters (Å, degrees): 2.8059 4.3471 8.7175 90.00 90.00 90.00
With the nearest neighbours (Å) after each atom.
Space group Cmmm (No. 65)
Inequivalent atoms, fractional coordinates:
Li  0.0000  0.0000  0.2272  2 Ni 2.43, 4 Li 2.59
Al  0.0000  0.5000  0.5000  6 Al 2.59-2.81, 4 Li 2.76
Ni  0.0000  0.5000  0.0000  4 Li 2.43, 4 Ni 2.59


Respective total energy values: -4.671; -3.703; -3.396; -3.758; -4.990; -3.500 eV/atom.